# 1
The following is a DFT calculation (PBE-GGA) of an optimized crystal structure of LuIn2Fe.

Summary:
Electronic total energy: -4.47 eV per atom
Total magnetization: 2.0 μB/cell
Calculated volume: 20.79 A^3/atom

a = 4.899 Å, b = 4.899 Å, c = 4.899 Å
α = 60.00°, β = 60.00°, γ = 60.00°
Sites, in units of the cell vectors:
Lu  0.000  0.000  0.000
In  0.500  0.500  0.500
In  0.750  0.750  0.750
Fe  0.250  0.250  0.250

# 2
The following is a DFT calculation (PBE-GGA) of an optimized crystal structure of Lu2In8Fe.

Summary:
Electronic total energy: -3.76 eV per atom
Total magnetization: 0.7 μB/cell
Calculated volume: 23.04 A^3/atom

a = 4.562 Å, b = 4.562 Å, c = 12.174 Å
α = 90.00°, β = 90.00°, γ = 90.00°
Sites, in units of the cell vectors:
Lu  0.000  0.000  0.193
Lu  0.000  0.000  0.807
In  0.000  0.500  0.000
In  0.000  0.500  0.380
In  0.000  0.500  0.620
In  0.500  0.000  0.000
In  0.500  0.000  0.380
In  0.500  0.000  0.620
In  0.500  0.500  0.192
In  0.500  0.500  0.808
Fe  0.000  0.000  0.500

# 3
The following is a DFT calculation (PBE-GGA) of an optimized crystal structure of LuIn8Fe4.

Summary:
Electronic total energy: -4.52 eV per atom
Total magnetization: 8.6 μB/cell
Calculated volume: 19.40 A^3/atom

a = 7.284 Å, b = 7.284 Å, c = 7.282 Å
α = 98.35°, β = 98.35°, γ = 135.11°
Sites, in units of the cell vectors:
Lu  0.000  0.000  0.000
In  0.000  0.328  0.328
In  0.000  0.672  0.672
In  0.280  0.500  0.780
In  0.328  0.000  0.328
In  0.500  0.280  0.780
In  0.500  0.720  0.220
In  0.672  0.000  0.672
In  0.720  0.500  0.220
Fe  0.000  0.000  0.500
Fe  0.000  0.500  0.000
Fe  0.500  0.000  0.000
Fe  0.500  0.500  0.500

# 4
The following is a DFT calculation (PBE-GGA) of an optimized crystal structure of LuMgInFe.

Summary:
Electronic total energy: -4.21 eV per atom
Polymorph energy (0 for the lowest one): 0.00 kcal/mol of atoms
Total magnetization: 2.0 μB/cell
Calculated volume: 19.56 A^3/atom

a = 4.801 Å, b = 4.801 Å, c = 4.801 Å
α = 60.00°, β = 60.00°, γ = 60.00°
Sites, in units of the cell vectors:
Lu  0.000  0.000  0.000
Mg  0.250  0.250  0.250
In  0.500  0.500  0.500
Fe  0.750  0.750  0.750

# 5
The following is a DFT calculation (PBE-GGA) of an optimized crystal structure of LuMgInFe.

Summary:
Electronic total energy: -4.20 eV per atom
Polymorph energy (0 for the lowest one): 0.36 kcal/mol of atoms
Total magnetization: 2.4 μB/cell
Calculated volume: 20.02 A^3/atom

a = 4.838 Å, b = 4.838 Å, c = 4.838 Å
α = 60.00°, β = 60.00°, γ = 60.00°
Sites, in units of the cell vectors:
Lu  0.000  0.000  0.000
Mg  0.750  0.750  0.750
In  0.250  0.250  0.250
Fe  0.500  0.500  0.500

# 6
The following is a DFT calculation (PBE-GGA) of an optimized crystal structure of LuInFeMo.

Summary:
Electronic total energy: -6.19 eV per atom
Polymorph energy (0 for the lowest one): 1.40 kcal/mol of atoms
Total magnetization: 2.0 μB/cell
Calculated volume: 18.19 A^3/atom

a = 4.686 Å, b = 4.686 Å, c = 4.686 Å
α = 60.00°, β = 60.00°, γ = 60.00°
Sites, in units of the cell vectors:
Lu  0.000  0.000  0.000
In  0.250  0.250  0.250
Fe  0.500  0.500  0.500
Mo  0.750  0.750  0.750

# 7
The following is a DFT calculation (PBE-GGA) of an optimized crystal structure of LuInFeMo.

Summary:
Electronic total energy: -6.25 eV per atom
Polymorph energy (0 for the lowest one): 0.00 kcal/mol of atoms
Total magnetization: 3.8 μB/cell
Calculated volume: 18.32 A^3/atom

a = 4.697 Å, b = 4.697 Å, c = 4.697 Å
α = 60.00°, β = 60.00°, γ = 60.00°
Sites, in units of the cell vectors:
Lu  0.000  0.000  0.000
In  0.500  0.500  0.500
Fe  0.750  0.750  0.750
Mo  0.250  0.250  0.250

# 8
The following is a DFT calculation (PBE-GGA) of an optimized crystal structure of LuInFeOs.

Summary:
Electronic total energy: -6.57 eV per atom
Polymorph energy (0 for the lowest one): 0.00 kcal/mol of atoms
Total magnetization: 2.0 μB/cell
Calculated volume: 17.11 A^3/atom

a = 4.592 Å, b = 4.592 Å, c = 4.592 Å
α = 60.00°, β = 60.00°, γ = 60.00°
Sites, in units of the cell vectors:
Lu  0.000  0.000  0.000
In  0.500  0.500  0.500
Fe  0.750  0.750  0.750
Os  0.250  0.250  0.250

# 9
The following is a DFT calculation (PBE-GGA) of an optimized crystal structure of LuInFeOs.

Summary:
Electronic total energy: -6.48 eV per atom
Polymorph energy (0 for the lowest one): 1.99 kcal/mol of atoms
Total magnetization: 3.7 μB/cell
Calculated volume: 18.00 A^3/atom

a = 4.670 Å, b = 4.670 Å, c = 4.670 Å
α = 60.00°, β = 60.00°, γ = 60.00°
Sites, in units of the cell vectors:
Lu  0.000  0.000  0.000
In  0.250  0.250  0.250
Fe  0.500  0.500  0.500
Os  0.750  0.750  0.750

# 10
The following is a DFT calculation (PBE-GGA) of an optimized crystal structure of LuInFePt.

Summary:
Electronic total energy: -5.64 eV per atom
Polymorph energy (0 for the lowest one): 4.15 kcal/mol of atoms
Total magnetization: 2.9 μB/cell
Calculated volume: 18.07 A^3/atom

a = 4.676 Å, b = 4.676 Å, c = 4.676 Å
α = 60.00°, β = 60.00°, γ = 60.00°
Sites, in units of the cell vectors:
Lu  0.000  0.000  0.000
In  0.250  0.250  0.250
Fe  0.500  0.500  0.500
Pt  0.750  0.750  0.750

# 11
The following is a DFT calculation (PBE-GGA) of an optimized crystal structure of LuInFePt.

Summary:
Electronic total energy: -5.82 eV per atom
Polymorph energy (0 for the lowest one): 0.00 kcal/mol of atoms
Total magnetization: 2.0 μB/cell
Calculated volume: 17.50 A^3/atom

a = 4.626 Å, b = 4.626 Å, c = 4.626 Å
α = 60.00°, β = 60.00°, γ = 60.00°
Sites, in units of the cell vectors:
Lu  0.000  0.000  0.000
In  0.500  0.500  0.500
Fe  0.750  0.750  0.750
Pt  0.250  0.250  0.250

# 12
The following is a DFT calculation (PBE-GGA) of an optimized crystal structure of Lu2Sc2In5Fe2.

Summary:
Electronic total energy: -4.99 eV per atom
Total magnetization: 0.0 μB/cell
Calculated volume: 21.78 A^3/atom

a = 7.607 Å, b = 3.428 Å, c = 9.237 Å
α = 90.00°, β = 96.01°, γ = 90.00°
Sites, in units of the cell vectors:
Lu  0.219  0.000  0.432
Lu  0.781  0.000  0.568
Sc  0.182  0.000  0.835
Sc  0.818  0.000  0.165
In  0.150  0.500  0.135
In  0.448  0.500  0.674
In  0.500  0.500  0.000
In  0.552  0.500  0.326
In  0.850  0.500  0.865
Fe  0.066  0.500  0.620
Fe  0.934  0.500  0.380

# 13
The following is a DFT calculation (PBE-GGA) of an optimized crystal structure of LuTaInFe.

Summary:
Electronic total energy: -6.51 eV per atom
Polymorph energy (0 for the lowest one): 0.00 kcal/mol of atoms
Total magnetization: 0.9 μB/cell
Calculated volume: 18.58 A^3/atom

a = 4.719 Å, b = 4.719 Å, c = 4.719 Å
α = 60.00°, β = 60.00°, γ = 60.00°
Sites, in units of the cell vectors:
Lu  0.000  0.000  0.000
Ta  0.750  0.750  0.750
In  0.250  0.250  0.250
Fe  0.500  0.500  0.500

# 14
The following is a DFT calculation (PBE-GGA) of an optimized crystal structure of LuInFeTe3.

Summary:
Electronic total energy: -4.66 eV per atom
Polymorph energy (0 for the lowest one): 1.14 kcal/mol of atoms
Total magnetization: 13.2 μB/cell
Calculated volume: 28.12 A^3/atom

a = 12.825 Å, b = 4.215 Å, c = 12.481 Å
α = 90.00°, β = 90.00°, γ = 90.00°
Sites, in units of the cell vectors:
Lu  0.022  0.250  0.185
Lu  0.478  0.750  0.685
Lu  0.522  0.250  0.315
Lu  0.978  0.750  0.815
In  0.189  0.250  0.492
In  0.311  0.750  0.992
In  0.689  0.250  0.008
In  0.811  0.750  0.508
Fe  0.223  0.750  0.334
Fe  0.277  0.250  0.834
Fe  0.723  0.750  0.166
Fe  0.777  0.250  0.666
Te  0.020  0.750  0.359
Te  0.101  0.250  0.942
Te  0.241  0.750  0.708
Te  0.259  0.250  0.208
Te  0.399  0.750  0.442
Te  0.480  0.250  0.859
Te  0.520  0.750  0.141
Te  0.601  0.250  0.558
Te  0.741  0.750  0.792
Te  0.759  0.250  0.292
Te  0.899  0.750  0.058
Te  0.980  0.250  0.641

# 15
The following is a DFT calculation (PBE-GGA) of an optimized crystal structure of LuInFeTe3.

Summary:
Electronic total energy: -4.71 eV per atom
Polymorph energy (0 for the lowest one): 0.00 kcal/mol of atoms
Total magnetization: 7.6 μB/cell
Calculated volume: 30.04 A^3/atom

a = 8.032 Å, b = 8.032 Å, c = 11.042 Å
α = 90.00°, β = 90.00°, γ = 149.60°
Sites, in units of the cell vectors:
Lu  0.000  0.000  0.000
Lu  0.000  0.000  0.500
In  0.242  0.758  0.750
In  0.758  0.242  0.250
Fe  0.473  0.527  0.250
Fe  0.527  0.473  0.750
Te  0.079  0.921  0.250
Te  0.368  0.632  0.065
Te  0.368  0.632  0.435
Te  0.632  0.368  0.565
Te  0.632  0.368  0.935
Te  0.921  0.079  0.750

# 16
The following is a DFT calculation (PBE-GGA) of an optimized crystal structure of Tm2Lu2In5Fe2.

Summary:
Electronic total energy: -4.68 eV per atom
Total magnetization: 2.7 μB/cell
Calculated volume: 22.92 A^3/atom

a = 7.669 Å, b = 3.541 Å, c = 9.328 Å
α = 90.00°, β = 95.54°, γ = 90.00°
Sites, in units of the cell vectors:
Tm  0.179  0.000  0.339
Tm  0.821  0.000  0.661
Lu  0.218  0.000  0.935
Lu  0.782  0.000  0.065
In  0.161  0.500  0.645
In  0.449  0.500  0.169
In  0.500  0.500  0.500
In  0.551  0.500  0.831
In  0.839  0.500  0.355
Fe  0.064  0.500  0.116
Fe  0.936  0.500  0.884

# 17
The following is a DFT calculation (PBE-GGA) of an optimized crystal structure of TmLuIn2Fe4.

Summary:
Electronic total energy: -6.19 eV per atom
Total magnetization: 7.6 μB/cell
Calculated volume: 17.83 A^3/atom

a = 3.966 Å, b = 4.995 Å, c = 7.198 Å
α = 90.00°, β = 90.00°, γ = 90.00°
Sites, in units of the cell vectors:
Tm  0.000  0.000  0.000
Lu  0.000  0.500  0.422
In  0.500  0.000  0.360
In  0.500  0.500  0.060
Fe  0.000  0.000  0.625
Fe  0.000  0.500  0.793
Fe  0.500  0.250  0.709
Fe  0.500  0.750  0.709

# 18
The following is a DFT calculation (PBE-GGA) of an optimized crystal structure of LuInFeW.

Summary:
Electronic total energy: -6.60 eV per atom
Polymorph energy (0 for the lowest one): 0.00 kcal/mol of atoms
Total magnetization: 2.0 μB/cell
Calculated volume: 18.13 A^3/atom

a = 4.681 Å, b = 4.681 Å, c = 4.681 Å
α = 60.00°, β = 60.00°, γ = 60.00°
Sites, in units of the cell vectors:
Lu  0.000  0.000  0.000
In  0.250  0.250  0.250
Fe  0.500  0.500  0.500
W  0.750  0.750  0.750

# 19
The following is a DFT calculation (PBE-GGA) of an optimized crystal structure of LuZrInFe.

Summary:
Electronic total energy: -5.98 eV per atom
Polymorph energy (0 for the lowest one): 0.00 kcal/mol of atoms
Total magnetization: 0.0 μB/cell
Calculated volume: 19.20 A^3/atom

a = 4.771 Å, b = 4.771 Å, c = 4.771 Å
α = 60.00°, β = 60.00°, γ = 60.00°
Sites, in units of the cell vectors:
Lu  0.000  0.000  0.000
Zr  0.750  0.750  0.750
In  0.250  0.250  0.250
Fe  0.500  0.500  0.500

# 20
The following is a DFT calculation (PBE-GGA) of an optimized crystal structure of MgInFe2.

Summary:
Electronic total energy: -4.91 eV per atom
Total magnetization: 18.6 μB/cell
Calculated volume: 15.59 A^3/atom

a = 6.295 Å, b = 6.295 Å, c = 6.295 Å
α = 90.00°, β = 90.00°, γ = 90.00°
Sites, in units of the cell vectors:
Mg  0.000  0.000  0.000
Mg  0.000  0.000  0.500
Mg  0.000  0.500  0.000
Mg  0.500  0.000  0.000
In  0.000  0.500  0.500
In  0.500  0.000  0.500
In  0.500  0.500  0.000
In  0.500  0.500  0.500
Fe  0.248  0.248  0.248
Fe  0.248  0.248  0.752
Fe  0.248  0.752  0.248
Fe  0.248  0.752  0.752
Fe  0.752  0.248  0.248
Fe  0.752  0.248  0.752
Fe  0.752  0.752  0.248
Fe  0.752  0.752  0.752